Compound: AcScCu4
Source: Alexandria
Functional: PBE-GGA
Structure: relaxed

Structure (extended XYZ):
```
6
Lattice="0.0000 3.7752 3.7752 3.7752 0.0000 3.7752 3.7752 3.7752 0.0000" Properties=species:S:1:pos:R:3 pbc="T T T"
Ac 0.0000 0.0000 0.0000
Sc 1.8876 1.8876 1.8876
Cu 4.6948 2.8557 2.8557
Cu 2.8557 4.6948 2.8557
Cu 2.8557 2.8557 4.6948
Cu 4.6948 4.6948 4.6948
```

Output
Fermi-level density of states ... 4.78 states/eV per cell
Energy relative to the elements ... -0.04 eV per atom



Compound: AcScCu2
Source: Alexandria
Functional: PBE-GGA
Structure: relaxed

Structure (extended XYZ):
```
4
Lattice="5.0292 0.0000 0.0000 0.0000 5.0292 0.0000 0.0000 0.0000 3.5187" Properties=species:S:1:pos:R:3 pbc="T T T"
Ac 0.0000 0.0000 0.0000
Sc 2.5146 2.5146 0.0000
Cu 0.0000 2.5146 1.7593
Cu 2.5146 0.0000 1.7593
```

Output
Fermi-level density of states ... 3.24 states/eV per cell
Energy relative to the lowest polymorph listed for this composition ... 117.2 meV/atom
Energy relative to the elements ... -0.04 eV per atom



Compound: AcSc2Cu9
Source: Alexandria
Functional: PBE-GGA
Structure: relaxed

Structure (extended XYZ):
```
12
Lattice="2.6153 1.5100 8.0878 -2.6153 1.5100 8.0878 0.0000 -3.0199 8.0878" Properties=species:S:1:pos:R:3 pbc="T T T"
Ac 0.0000 0.0000 0.0000
Sc 0.0000 0.0000 3.6065
Sc 0.0000 0.0000 20.6569
Cu -1.3132 -0.7582 10.1777
Cu 0.0000 0.0000 8.0661
Cu 0.0000 -1.5164 14.0856
Cu -1.3132 0.7582 14.0856
Cu 0.0000 0.0000 12.1317
Cu 1.3132 -0.7582 10.1778
Cu 0.0000 1.5164 10.1778
Cu 0.0000 0.0000 16.1973
Cu 1.3132 0.7582 14.0856
```

Output
Fermi-level density of states ... 7.64 states/eV per cell
Energy relative to the elements ... -0.17 eV per atom



Compound: AcScCu2
Source: Alexandria
Functional: PBE-GGA
Structure: relaxed

Structure (extended XYZ):
```
4
Lattice="3.4991 0.0000 0.0000 0.0000 3.4991 0.0000 0.0000 0.0000 7.1387" Properties=species:S:1:pos:R:3 pbc="T T T"
Ac 0.0000 0.0000 0.0000
Sc 0.0000 0.0000 3.5693
Cu 1.7496 1.7496 2.2097
Cu 1.7496 1.7496 4.9289
```

Output
Fermi-level density of states ... 2.85 states/eV per cell
Energy relative to the lowest polymorph listed for this composition ... 28.0 meV/atom
Energy relative to the elements ... -0.13 eV per atom



Compound: AcScCu2Se4
Source: Alexandria
Functional: PBE-GGA
Structure: relaxed

Structure (extended XYZ):
```
16
Lattice="6.6522 0.0000 0.0000 0.0000 7.3268 0.0000 0.0000 0.0000 8.1922" Properties=species:S:1:pos:R:3 pbc="T T T"
Ac 0.0000 0.0000 0.0000
Ac 3.3261 3.6634 4.0961
Sc 0.0000 0.0000 4.0961
Sc 3.3261 3.6634 0.0000
Cu 0.0000 3.6634 1.2635
Cu 0.0000 3.6634 6.9287
Cu 3.3261 0.0000 2.8326
Cu 3.3261 0.0000 5.3596
Se 1.5053 1.4572 2.5704
Se 1.5053 5.8695 5.6218
Se 1.8208 2.2061 6.6665
Se 1.8208 5.1206 1.5257
Se 4.8314 2.2061 1.5257
Se 4.8314 5.1206 6.6665
Se 5.1469 1.4572 5.6218
Se 5.1469 5.8695 2.5704
```

Output
Raw formation energy ... -1109 meV/atom



Compound: Ac2ScCuSe5
Source: Alexandria
Functional: PBE-GGA
Structure: relaxed

Structure (extended XYZ):
```
18
Lattice="2.0871 -8.9753 0.0000 2.0871 8.9753 0.0000 0.0000 0.0000 12.3627" Properties=species:S:1:pos:R:3 pbc="T T T"
Ac 2.0871 6.9478 6.1814
Ac 2.0871 6.7136 1.4950
Ac 2.0871 -6.7136 7.6764
Ac 2.0871 -6.9478 0.0000
Sc 2.0871 5.5404 10.1597
Sc 2.0871 -5.5404 3.9783
Cu 2.0871 1.2247 3.2306
Cu 2.0871 -1.2247 9.4120
Se 2.0871 8.0966 10.6684
Se 2.0871 3.7711 5.8150
Se 2.0871 3.4716 2.1042
Se 2.0871 2.7207 10.0616
Se 2.0871 -0.0033 1.1166
Se 2.0871 0.0033 7.2980
Se 2.0871 -2.7207 3.8803
Se 2.0871 -3.4716 8.2855
Se 2.0871 -3.7711 11.9964
Se 2.0871 -8.0966 4.4871
```

Output
Raw formation energy ... -1650 meV/atom



Compound: AcScCu2Si2
Source: Alexandria
Functional: PBE-GGA
Structure: relaxed

Structure (extended XYZ):
```
6
Lattice="4.2147 0.0000 0.0000 -2.1074 3.6501 0.0000 0.0000 0.0000 7.5391" Properties=species:S:1:pos:R:3 pbc="T T T"
Ac 0.0000 0.0000 0.0000
Sc 0.0000 0.0000 3.7696
Cu 0.0000 2.4334 5.1190
Cu 2.1074 1.2167 2.4201
Si 0.0000 2.4334 2.2206
Si 2.1074 1.2167 5.3185
```

Output
Fermi-level density of states ... 2.47 states/eV per cell
Raw formation energy ... -611 meV/atom



Compound: Ac2ScCuTe5
Source: Alexandria
Functional: PBE-GGA
Structure: relaxed

Structure (extended XYZ):
```
18
Lattice="2.2105 -9.7051 0.0000 2.2105 9.7051 0.0000 0.0000 0.0000 13.1307" Properties=species:S:1:pos:R:3 pbc="T T T"
Ac 2.2105 7.5343 6.5654
Ac 2.2105 7.2613 1.5528
Ac 2.2105 -7.2613 8.1181
Ac 2.2105 -7.5343 0.0000
Sc 2.2105 6.0398 10.7840
Sc 2.2105 -6.0398 4.2186
Cu 2.2105 1.4564 3.4786
Cu 2.2105 -1.4564 10.0439
Te 2.2105 8.7871 11.3670
Te 2.2105 4.1210 6.1816
Te 2.2105 3.7673 2.1747
Te 2.2105 2.9743 10.6660
Te 2.2105 0.0152 1.2629
Te 2.2105 -0.0152 7.8283
Te 2.2105 -2.9743 4.1007
Te 2.2105 -3.7673 8.7400
Te 2.2105 -4.1210 12.7470
Te 2.2105 -8.7871 4.8016
```

Output
Raw formation energy ... -1263 meV/atom



Q: Which final energy values were calculated for the entries above? A: -27.0; -18.8; -55.7; -19.1; -82.9; -101.8; -33.1; -91.4, in eV per cell.
Q: Which total magnetization values were calculated for the entries above? A: 0.00; 0.00; 0.00; 0.00; 0.00; 0.00; 0.00; 0.00, in μB per atom.